# 1
Below is crystalline YbMg2Bi2 at its relaxed geometry, with properties calculated at the GGA-PBE level.

Properties
SG	P-3m1, No. 164
formation energy from the elements	-0.54	eV/atom

Lattice parameters (Å, degrees): 4.7919 4.7919 7.6986 90.00 90.00 120.00
Positions (direct):
Mg 0.3333 0.6667 0.6285
Mg 0.6667 0.3333 0.3715
Yb 0.0000 0.0000 0.0000
Bi 0.6667 0.3333 0.7634
Bi 0.3333 0.6667 0.2366

=====

# 2
Below is crystalline K4YAg at its relaxed geometry, with properties calculated at the GGA-PBE level.

Properties
SG	F-43m, No. 216
formation energy from the elements	0.62	eV/atom

Lattice parameters (Å, degrees): 7.4452 7.4452 7.4452 60.00 60.00 60.00
Site moments in Bohr magnetons follow the coordinates.
Positions (direct):
K 0.8770 0.3743 0.3743  0.01
K 0.3743 0.3743 0.8770  0.01
K 0.3743 0.8770 0.3743  0.01
K 0.3743 0.3743 0.3743  0.01
Y 0.7500 0.7500 0.7500  0.36
Ag 0.0000 0.0000 0.0000  0.00

=====

# 3
Below is crystalline BAs2C at its relaxed geometry, with properties calculated at the GGA-PBE level.

Properties
SG	Fm-3m, No. 225
formation energy from the elements	1.91	eV/atom

Lattice parameters (Å, degrees): 4.1150 4.1150 4.1150 60.00 60.00 60.00
Positions (direct):
As 0.2500 0.2500 0.2500
As 0.7500 0.7500 0.7500
B 0.0000 0.0000 0.0000
C 0.5000 0.5000 0.5000

=====

Look up the formation energy from the elements of the second one. 0.62 eV/atom

=====

Among the records above, which one has the lowest formation energy from the elements? YbMg2Bi2

=====

Repeat the first record exactly.
Below is crystalline YbMg2Bi2 at its relaxed geometry, with properties calculated at the GGA-PBE level.

Properties
SG	P-3m1, No. 164
formation energy from the elements	-0.54	eV/atom

Lattice parameters (Å, degrees): 4.7919 4.7919 7.6986 90.00 90.00 120.00
Positions (direct):
Mg 0.3333 0.6667 0.6285
Mg 0.6667 0.3333 0.3715
Yb 0.0000 0.0000 0.0000
Bi 0.6667 0.3333 0.7634
Bi 0.3333 0.6667 0.2366

=====

Which value of formation energy from the elements does entry 2 give? 0.62 eV/atom